# 1
This record from the Alexandria database describes a relaxed structure of La2NiAu. The functional is PBE.

## Properties
uncorrected energy	-0.190	hartree per atom

abc: 4.299 4.296 6.070
angles: 90.00 90.00 90.00
Fractional coordinates of all 4 atoms:
Au1 0.500 0.500 0.876
La1 0.000 0.000 0.873
La2 0.500 0.500 0.376
Ni1 0.000 0.000 0.375

# 2
This record from the Alexandria database describes a relaxed structure of InSb2Pt. The functional is PBE.

## Properties
uncorrected energy	-0.152	hartree per atom

abc: 5.344 5.344 5.344
angles: 127.90 127.90 76.79
Fractional coordinates of all 4 atoms:
In1 0.500 0.500 0.000
Pt1 0.750 0.250 0.500
Sb1 0.000 0.000 0.000
Sb2 0.250 0.750 0.500

# 3
This record from the Alexandria database describes a relaxed structure of BeCo4Hg. The functional is PBE.

## Properties
uncorrected energy	-0.185	hartree per atom

abc: 4.765 4.765 4.765
angles: 60.00 60.00 60.00
Last column: magnetic moment on the atom in μB.
Fractional coordinates of all 6 atoms:
Be1 0.000 0.000 0.000  -0.06
Co1 0.878 0.374 0.374  1.58
Co2 0.374 0.374 0.878  1.58
Co3 0.374 0.878 0.374  1.58
Co4 0.374 0.374 0.374  1.58
Hg1 0.750 0.750 0.750  -0.04

# 4
This record from the Alexandria database describes a relaxed structure of Mg7Si8O24. The functional is PBE.

## Properties
uncorrected energy	-0.262	hartree per atom

abc: 10.307 10.307 5.362
angles: 85.47 85.47 123.79
Last column: magnetic moment on the atom in μB.
Fractional coordinates of all 39 atoms:
Mg1 0.738 0.262 0.500  0.00
Mg2 0.262 0.738 0.500  0.00
Mg3 0.820 0.180 0.000  0.00
Mg4 0.180 0.820 0.000  0.00
Mg5 0.000 0.000 0.000  0.00
Mg6 0.906 0.094 0.500  -0.01
Mg7 0.094 0.906 0.500  -0.01
Si1 0.634 0.804 0.244  0.00
Si2 0.366 0.196 0.756  0.00
Si3 0.196 0.366 0.756  0.00
Si4 0.804 0.634 0.244  0.00
Si5 0.463 0.122 0.248  0.00
Si6 0.537 0.878 0.752  0.00
Si7 0.878 0.537 0.752  0.00
Si8 0.122 0.463 0.248  0.00
O1 0.481 0.212 0.506  0.00
O2 0.519 0.788 0.494  0.00
O3 0.788 0.519 0.494  0.00
O4 0.212 0.481 0.506  0.00
O5 0.666 0.666 0.294  0.01
O6 0.334 0.334 0.706  0.01
O7 0.912 0.912 0.669  0.75
O8 0.088 0.088 0.331  0.75
O9 0.543 0.777 0.999  0.01
O10 0.457 0.223 0.001  0.01
O11 0.223 0.457 0.001  0.01
O12 0.777 0.543 0.999  0.01
O13 0.628 0.138 0.221  0.01
O14 0.372 0.862 0.779  0.01
O15 0.862 0.372 0.779  0.01
O16 0.138 0.628 0.221  0.01
O17 0.800 0.978 0.196  0.02
O18 0.200 0.022 0.804  0.02
O19 0.022 0.200 0.804  0.02
O20 0.978 0.800 0.196  0.02
O21 0.299 0.944 0.297  0.00
O22 0.701 0.056 0.703  0.00
O23 0.056 0.701 0.703  0.00
O24 0.944 0.299 0.297  0.00

# 5
This record from the Alexandria database describes a relaxed structure of CaSnO3. The functional is PBE.

## Properties
uncorrected energy	-0.235	hartree per atom

abc: 5.610 6.484 7.406
angles: 95.34 90.00 90.00
Fractional coordinates of all 20 atoms:
Ca1 0.726 0.612 0.163
Ca2 0.274 0.388 0.837
Ca3 0.226 0.388 0.337
Ca4 0.774 0.612 0.663
Sn1 0.263 0.906 0.576
Sn2 0.737 0.094 0.424
Sn3 0.763 0.094 0.924
Sn4 0.237 0.906 0.076
O1 0.060 0.931 0.333
O2 0.940 0.069 0.667
O3 0.560 0.069 0.167
O4 0.440 0.931 0.833
O5 0.587 0.804 0.452
O6 0.413 0.196 0.548
O7 0.087 0.196 0.048
O8 0.913 0.804 0.952
O9 0.178 0.611 0.612
O10 0.822 0.389 0.388
O11 0.678 0.389 0.888
O12 0.322 0.611 0.112

# 6
This record from the Alexandria database describes a relaxed structure of AlInS2. The functional is PBE.

## Properties
uncorrected energy	-0.151	hartree per atom

abc: 5.583 5.583 6.653
angles: 65.19 65.19 90.00
Fractional coordinates of all 8 atoms:
S1 0.720 0.720 0.559
S2 0.030 0.530 0.941
S3 0.280 0.280 0.441
S4 0.470 0.970 0.059
Al1 0.500 0.500 0.000
Al2 0.250 0.750 0.500
In1 0.000 0.000 0.000
In2 0.750 0.250 0.500

> The highest uncorrected energy belongs to which entry?

AlInS2

> What is the formula in the second record?

InSb2Pt